A geometry-optimized Ba2TaCo structure. Source: the Alexandria database, functional PBE-GGA.

abc: 5.361 5.361 5.361
angles: 60.00 60.00 60.00
Site moments in Bohr magnetons follow the coordinates.
Atoms (fractional coordinates):
Ba 0.000 0.000 0.000  -0.16
Ba 0.250 0.250 0.250  -0.07
Co 0.500 0.500 0.500  1.59
Ta 0.750 0.750 0.750  -1.04

Properties
- DOS at the Fermi energy (states/eV per atom) = 1.922
- mass density (g cm⁻³) = 7.8
- ΔE_f (eV/atom) = 1.302
- distance to the lowest polymorph of the same formula (meV per atom) = 920.7